Record 1
Density functional theory data (PBE-GGA) for crystalline Ni2Mo at its relaxed geometry.

Cell and atoms, written as POSCAR:
```
Ni2Mo
1.0
2.654 0.000 0.000
-1.327 2.299 0.000
0.000 0.000 6.280
Ni Mo
2 1
Cartesian
0.000 1.532 2.138
1.327 0.766 4.141
0.000 0.000 0.000
```

## Properties
- ΔE_f: 3.14 kcal/mol of atoms
- D(E_F): 1.399 states/eV/atom
- Volume: 12.8 Å³ per atom
- Symmetry: P-3m1, No. 164

=====

Record 2
Density functional theory data (PBE-GGA) for crystalline Ni4Mo3 at its relaxed geometry.

Cell and atoms, written as POSCAR:
```
Ni4Mo3
1.0
-1.564 1.564 9.355
1.564 -1.564 9.355
1.564 1.564 -9.355
Ni Mo
4 3
Cartesian
0.000 0.000 1.332
0.000 0.000 6.802
0.000 0.000 11.909
0.000 0.000 17.379
0.000 0.000 3.914
0.000 0.000 9.355
0.000 0.000 14.797
```

## Properties
- ΔE_f: 0.78 kcal/mol of atoms
- D(E_F): 1.128 states/eV/atom
- Volume: 13.1 Å³ per atom
- Symmetry: I4/mmm, No. 139

=====

Record 3
Density functional theory data (PBE-GGA) for crystalline NiMo at its relaxed geometry.

Cell and atoms, written as POSCAR:
```
NiMo
1.0
6.529 0.000 0.000
0.000 6.529 0.000
0.000 0.000 6.529
Ni Mo
6 6
Cartesian
0.000 1.632 3.264
0.000 4.897 3.264
1.632 3.264 0.000
3.264 0.000 1.632
3.264 0.000 4.897
4.897 3.264 0.000
0.000 3.264 1.632
0.000 3.264 4.897
1.632 0.000 3.264
3.264 1.632 0.000
3.264 4.897 0.000
4.897 0.000 3.264
```

## Properties
- ΔE_f: 37.17 kcal/mol of atoms
- D(E_F): 0.976 states/eV/atom
- Volume: 23.2 Å³ per atom
- Symmetry: Pm-3n, No. 223

=====

Record 4
Density functional theory data (PBE-GGA) for crystalline NiMo at its relaxed geometry.

Cell and atoms, written as POSCAR:
```
NiMo
1.0
2.691 0.000 0.000
-1.346 2.331 0.000
0.000 0.000 4.321
Ni Mo
1 1
Cartesian
0.000 0.000 0.000
1.346 0.777 2.161
```

## Properties
- ΔE_f: 3.19 kcal/mol of atoms
- D(E_F): 1.271 states/eV/atom
- Volume: 13.6 Å³ per atom
- Symmetry: P-6m2, No. 187

=====

Record 5
Density functional theory data (PBE-GGA) for crystalline NiMo at its relaxed geometry.

Cell and atoms, written as POSCAR:
```
NiMo
1.0
3.810 0.000 0.000
-1.905 3.299 0.000
0.000 0.000 4.693
Ni Mo
2 2
Cartesian
0.000 0.000 0.000
0.000 0.000 2.346
0.000 2.200 1.173
1.905 1.100 3.520
```

## Properties
- ΔE_f: 14.53 kcal/mol of atoms
- D(E_F): 1.418 states/eV/atom
- Volume: 14.7 Å³ per atom
- Symmetry: P6_3/mmc, No. 194

=====

Record 6
Density functional theory data (PBE-GGA) for crystalline Ni2Mo3 at its relaxed geometry.

Cell and atoms, written as POSCAR:
```
Ni2Mo3
1.0
0.000 6.530 2.296
4.666 0.000 2.296
4.666 6.530 0.000
Ni Mo
4 6
Cartesian
4.904 3.858 2.296
6.762 7.123 3.444
4.428 9.202 2.296
7.237 12.466 3.444
4.243 1.373 2.158
1.910 1.892 1.010
2.757 4.638 1.010
4.666 6.530 2.057
6.999 9.795 3.205
5.090 11.687 2.158
```

## Properties
- ΔE_f: 2.51 kcal/mol of atoms
- D(E_F): 1.025 states/eV/atom
- Volume: 14.0 Å³ per atom
- Symmetry: Fdd2, No. 43

=====

Record 7
Density functional theory data (PBE-GGA) for crystalline Ni8Mo3 at its relaxed geometry.

Cell and atoms, written as POSCAR:
```
Ni8Mo3
1.0
4.530 0.000 0.000
-1.832 5.745 0.000
-1.836 -2.305 5.274
Ni Mo
8 3
Cartesian
-0.914 1.885 0.648
-1.909 2.982 2.575
-1.907 5.184 1.135
0.617 -0.619 3.456
0.246 4.059 1.818
2.770 -1.744 4.139
2.772 0.458 2.699
1.776 1.555 4.626
2.265 0.000 0.000
1.349 2.873 0.000
0.431 1.720 2.637
```

## Properties
- ΔE_f: 2.63 kcal/mol of atoms
- D(E_F): 1.003 states/eV/atom
- Volume: 12.5 Å³ per atom
- Symmetry: P-1, No. 2

=====

Record 8
Density functional theory data (PBE-GGA) for crystalline NiMo8 at its relaxed geometry.

Cell and atoms, written as POSCAR:
```
NiMo8
1.0
-4.114 4.114 2.064
4.114 -4.114 2.064
4.114 4.114 -2.064
Ni Mo
1 8
Cartesian
0.000 0.000 0.000
2.655 0.000 0.000
5.573 0.000 0.000
0.000 2.655 0.000
2.803 2.803 0.000
1.311 -1.311 2.064
-1.311 1.311 2.064
1.311 1.311 2.064
0.000 5.573 0.000
```

## Properties
- ΔE_f: 5.76 kcal/mol of atoms
- D(E_F): 0.963 states/eV/atom
- Volume: 15.5 Å³ per atom
- Symmetry: I4/mmm, No. 139

=====

Record 9
Density functional theory data (PBE-GGA) for crystalline Ni2Mo at its relaxed geometry.

Cell and atoms, written as POSCAR:
```
Ni2Mo
1.0
-1.572 1.572 8.292
1.572 -1.572 8.292
1.572 1.572 -8.292
Ni Mo
4 2
Cartesian
1.572 0.786 0.853
1.572 0.786 3.293
0.000 0.786 4.999
0.000 0.786 7.439
1.572 -0.786 6.219
0.000 2.357 2.073
```

## Properties
- ΔE_f: 9.96 kcal/mol of atoms
- D(E_F): 1.395 states/eV/atom
- Volume: 13.7 Å³ per atom
- Symmetry: I4_1/amd, No. 141

=====

Record 10
Density functional theory data (PBE-GGA) for crystalline NiMo at its relaxed geometry.

Cell and atoms, written as POSCAR:
```
NiMo
1.0
1.348 0.778 8.717
-1.348 0.778 8.717
0.000 -1.556 8.717
Ni Mo
2 2
Cartesian
0.000 0.000 3.362
0.000 0.000 22.789
0.000 0.000 9.967
0.000 0.000 16.184
```

## Properties
- ΔE_f: 4.74 kcal/mol of atoms
- D(E_F): 1.080 states/eV/atom
- Volume: 13.7 Å³ per atom
- Symmetry: R-3m, No. 166

=====

Record 11
Density functional theory data (PBE-GGA) for crystalline NiMo at its relaxed geometry.

Cell and atoms, written as POSCAR:
```
NiMo
1.0
4.305 0.000 0.000
-2.152 3.728 0.000
0.000 0.000 7.273
Ni Mo
4 4
Cartesian
0.000 2.485 0.575
0.000 2.485 3.062
2.152 1.243 4.212
2.152 1.243 6.698
0.000 0.000 1.818
0.000 0.000 5.455
0.000 2.485 5.455
2.152 1.243 1.818
```

## Properties
- ΔE_f: 12.02 kcal/mol of atoms
- D(E_F): 1.359 states/eV/atom
- Volume: 14.6 Å³ per atom
- Symmetry: P6_3/mmc, No. 194

=====

Record 12
Density functional theory data (PBE-GGA) for crystalline Ni2Mo at its relaxed geometry.

Cell and atoms, written as POSCAR:
```
Ni2Mo
1.0
4.104 0.000 0.000
-2.052 3.554 0.000
0.000 0.000 2.549
Ni Mo
2 1
Cartesian
0.000 2.370 0.000
2.052 1.185 0.000
0.000 0.000 1.274
```

## Properties
- ΔE_f: -1.28 kcal/mol of atoms
- D(E_F): 1.280 states/eV/atom
- Volume: 12.4 Å³ per atom
- Symmetry: P6/mmm, No. 191

=====

The lowest volume belongs to which entry?
number 12